The following is a PBE with a Hubbard U calculation of crystalline MnCuNF2 at its relaxed geometry, from Alexandria via LeMat-Bulk.

a b c (Å): 3.920 3.920 3.889
angles (deg): 90.00 90.00 90.00
Atoms (fractional coordinates):
Mn  0.000  0.000  0.000
Cu  0.500  0.500  0.500
N  0.500  0.500  0.000
F  0.000  0.500  0.500
F  0.500  0.000  0.500

Summary:
The space group is P4/mmm, No. 123. For the density of states at the Fermi level, the calculation gives 2.1 states/eV/f.u. The calculation puts the electronic total energy at -25.846 eV per cell.